## NaCa3P (meta-GGA SCAN)

Data for a crystal of NaCa3P relaxed with PBEsol.

Output
**Offset from the most stable computed form**: 0.6 kJ/mol of atoms
**DFT formation energy**: -0.56 eV per atom
**E**: -46.41 eV/cell
**Calculated volume**: 34.85 Å³/atom

Cell: 5.586 5.586 5.586 Å, 90.00 90.00 90.00°
Space group Pm-3m (No. 221)
Symmetry-distinct sites (fractional):
Na1 0.000 0.000 0.000 [1 per cell]
Ca1 0.000 0.500 0.500 [3 per cell]
P1 0.500 0.500 0.500 [1 per cell]

## NaCaP3 (meta-GGA SCAN)

Data for a crystal of NaCaP3 relaxed with PBEsol.

Output
**DFT formation energy**: 0.59 eV per atom
**E**: -42.13 eV/cell
**Calculated volume**: 22.11 Å³/atom

Cell: 4.799 4.799 4.799 Å, 90.00 90.00 90.00°
Space group Pm-3m (No. 221)
Symmetry-distinct sites (fractional):
Na1 0.000 0.000 0.000 [1 per cell]
Ca1 0.500 0.500 0.500 [1 per cell]
P1 0.000 0.000 0.500 [3 per cell]

## NaCa3P (meta-GGA SCAN)

Data for a crystal of NaCa3P relaxed with PBEsol.

Output
**Offset from the most stable computed form**: 119.1 kJ/mol of atoms
**DFT formation energy**: 0.67 eV per atom
**E**: -40.27 eV/cell
**Calculated volume**: 35.07 Å³/atom

Cell: 5.597 5.597 5.597 Å, 90.00 90.00 90.00°
Space group Pm-3m (No. 221)
Symmetry-distinct sites (fractional):
Na1 0.000 0.000 0.000 [1 per cell]
Ca1 0.000 0.000 0.500 [3 per cell]
P1 0.500 0.500 0.500 [1 per cell]

## NaCa2SnP (meta-GGA SCAN)

Data for a crystal of NaCa2SnP relaxed with PBEsol.

Output
**DFT formation energy**: 0.12 eV per atom
**E**: -69.25 eV/cell
**Calculated volume**: 36.00 Å³/atom

Cell: 5.926 5.926 5.126 Å, 90.00 90.00 90.00°
Space group P4/mmm (No. 123)
Symmetry-distinct sites (fractional):
Na1 0.000 0.000 0.000 [1 per cell]
Ca1 0.000 0.500 0.500 [2 per cell]
Sn1 0.500 0.500 0.500 [1 per cell]
P1 0.500 0.500 0.000 [1 per cell]

## NaCaPb3 (meta-GGA SCAN)

Data for a crystal of NaCaPb3 relaxed with PBEsol.

Output
**DFT formation energy**: 0.23 eV per atom
**E**: -240.08 eV/cell
**Calculated volume**: 39.25 Å³/atom

Cell: 5.811 5.811 5.811 Å, 90.00 90.00 90.00°
Space group Pm-3m (No. 221)
Symmetry-distinct sites (fractional):
Na1 0.000 0.000 0.000 [1 per cell]
Ca1 0.500 0.500 0.500 [1 per cell]
Pb1 0.000 0.500 0.500 [3 per cell]

## NaCaPtPb2 (meta-GGA SCAN)

Data for a crystal of NaCaPtPb2 relaxed with PBEsol.

Output
**DFT formation energy**: 0.25 eV per atom
**E**: -234.39 eV/cell
**Calculated volume**: 27.02 Å³/atom

Cell: 5.252 5.252 4.898 Å, 90.00 90.00 90.00°
Space group P4/mmm (No. 123)
Symmetry-distinct sites (fractional):
Na1 0.000 0.000 0.000 [1 per cell]
Ca1 0.500 0.500 0.500 [1 per cell]
Pt1 0.000 0.000 0.500 [1 per cell]
Pb1 0.000 0.500 0.000 [2 per cell]

## NaCaPd3 (meta-GGA SCAN)

Data for a crystal of NaCaPd3 relaxed with PBEsol.

Output
**DFT formation energy**: 0.29 eV per atom
**E**: -110.75 eV/cell
**Calculated volume**: 20.23 Å³/atom

Cell: 4.659 4.659 4.659 Å, 90.00 90.00 90.00°
Space group Pm-3m (No. 221)
Symmetry-distinct sites (fractional):
Na1 0.000 0.000 0.000 [1 per cell]
Ca1 0.500 0.500 0.500 [1 per cell]
Pd1 0.000 0.000 0.500 [3 per cell]

## Na2CaPt (meta-GGA SCAN)

Data for a crystal of Na2CaPt relaxed with PBEsol.

Output
**DFT formation energy**: -0.16 eV per atom
**E**: -355.76 eV/cell
**Calculated volume**: 21.83 Å³/atom

Cell: 7.043 7.043 7.043 Å, 90.00 90.00 90.00°
Space group Fm-3m (No. 225)
Symmetry-distinct sites (fractional):
Na1 0.250 0.250 0.250 [8 per cell]
Ca1 0.000 0.000 0.000 [4 per cell]
Pt1 0.000 0.000 0.500 [4 per cell]

## NaCa2Pt2 (meta-GGA SCAN)

Data for a crystal of NaCa2Pt2 relaxed with PBEsol.

Output
**DFT formation energy**: -0.76 eV per atom
**E**: -335.48 eV/cell
**Calculated volume**: 22.72 Å³/atom

Cell: 7.726 7.726 3.806 Å, 90.00 90.00 90.00°
Space group P4/mbm (No. 127)
Symmetry-distinct sites (fractional):
Na1 0.000 0.000 0.000 [2 per cell]
Ca1 0.164 0.336 0.500 [4 per cell]
Pt1 0.127 0.627 0.000 [4 per cell]

## Rb2NaCa2 (meta-GGA SCAN)

Data for a crystal of Rb2NaCa2 relaxed with PBEsol.

Output
**DFT formation energy**: 0.26 eV per atom
**E**: -127.42 eV/cell
**Calculated volume**: 60.68 Å³/atom

Cell: 4.999 4.999 24.281 Å, 90.00 90.00 90.00°
Space group I4/mmm (No. 139)
Symmetry-distinct sites (fractional):
Rb1 0.000 0.000 0.100 [4 per cell]
Na1 0.000 0.000 0.500 [2 per cell]
Ca1 0.000 0.500 0.250 [4 per cell]

## RbNa2CaY (meta-GGA SCAN)

Data for a crystal of RbNa2CaY relaxed with PBEsol.

Output
**DFT formation energy**: 0.95 eV per atom
**E**: -61.94 eV/cell
**Calculated volume**: 48.74 Å³/atom

Cell: 6.089 6.089 6.574 Å, 90.00 90.00 90.00°
Space group P4/mmm (No. 123)
Symmetry-distinct sites (fractional):
Rb1 0.000 0.000 0.000 [1 per cell]
Na1 0.000 0.500 0.500 [2 per cell]
Ca1 0.000 0.000 0.500 [1 per cell]
Y1 0.500 0.500 0.000 [1 per cell]

## NaCaRu2Se (meta-GGA SCAN)

Data for a crystal of NaCaRu2Se relaxed with PBEsol.

Output
**Formation energy (no corrections)**: 1.42 eV per atom
**E**: -96.53 eV/cell
**Calculated volume**: 21.04 Å³/atom

Cell: 4.583 4.583 5.008 Å, 90.00 90.00 90.00°
Space group P4/mmm (No. 123)
Symmetry-distinct sites (fractional):
Na1 0.000 0.000 0.000 [1 per cell]
Ca1 0.000 0.000 0.500 [1 per cell]
Ru1 0.000 0.500 0.000 [2 per cell]
Se1 0.500 0.500 0.500 [1 per cell]

## NaCa2Sb2 (meta-GGA SCAN)

Data for a crystal of NaCa2Sb2 relaxed with PBEsol.

Output
**Formation energy (no corrections)**: -0.85 eV per atom
**E**: -204.64 eV/cell
**Calculated volume**: 29.55 Å³/atom

Cell: 8.990 8.990 3.656 Å, 90.00 90.00 90.00°
Space group P4/mbm (No. 127)
Symmetry-distinct sites (fractional):
Na1 0.000 0.000 0.000 [2 per cell]
Ca1 0.135 0.365 0.500 [4 per cell]
Sb1 0.165 0.665 0.000 [4 per cell]

## NaCaSbTe2 (meta-GGA SCAN)

Data for a crystal of NaCaSbTe2 relaxed with PBEsol.

Output
**Formation energy (no corrections)**: -0.06 eV per atom
**E**: -125.96 eV/cell
**Calculated volume**: 31.75 Å³/atom

Cell: 5.525 5.525 5.202 Å, 90.00 90.00 90.00°
Space group P4/mmm (No. 123)
Symmetry-distinct sites (fractional):
Na1 0.000 0.000 0.000 [1 per cell]
Ca1 0.500 0.500 0.500 [1 per cell]
Sb1 0.000 0.000 0.500 [1 per cell]
Te1 0.000 0.500 0.000 [2 per cell]

## NaCaSb2Te (meta-GGA SCAN)

Data for a crystal of NaCaSb2Te relaxed with PBEsol.

Output
**Formation energy (no corrections)**: 0.08 eV per atom
**Offset from the most stable computed form**: 0.0 kJ/mol of atoms
**E**: -125.24 eV/cell
**Calculated volume**: 37.35 Å³/atom

Cell: 5.701 5.701 5.746 Å, 90.00 90.00 90.00°
Space group P4/mmm (No. 123)
Symmetry-distinct sites (fractional):
Na1 0.000 0.000 0.000 [1 per cell]
Ca1 0.500 0.500 0.500 [1 per cell]
Sb1 0.000 0.500 0.500 [2 per cell]
Te1 0.500 0.500 0.000 [1 per cell]

## Na3CaSc (meta-GGA SCAN)

Data for a crystal of Na3CaSc relaxed with PBEsol.

Output
**DFT formation energy**: 0.97 eV per atom
**E**: -31.69 eV/cell
**Calculated volume**: 39.62 Å³/atom

Cell: 5.829 5.829 5.829 Å, 90.00 90.00 90.00°
Space group Pm-3m (No. 221)
Symmetry-distinct sites (fractional):
Na1 0.000 0.000 0.500 [3 per cell]
Ca1 0.000 0.000 0.000 [1 per cell]
Sc1 0.500 0.500 0.500 [1 per cell]

## Na2CaSe2 (meta-GGA SCAN)

Data for a crystal of Na2CaSe2 relaxed with PBEsol.

Output
**Formation energy (no corrections)**: -1.32 eV per atom
**E**: -129.70 eV/cell
**Calculated volume**: 23.81 Å³/atom

Cell: 4.052 4.052 14.504 Å, 90.00 90.00 90.00°
Space group I4/mmm (No. 139)
Symmetry-distinct sites (fractional):
Na1 0.000 0.500 0.250 [4 per cell]
Ca1 0.000 0.000 0.000 [2 per cell]
Se1 0.000 0.000 0.386 [4 per cell]

## Na2CaTaSe (meta-GGA SCAN)

Data for a crystal of Na2CaTaSe relaxed with PBEsol.

Output
**Formation energy (no corrections)**: 0.27 eV per atom
**E**: -103.42 eV/cell
**Calculated volume**: 28.01 Å³/atom

Cell: 5.332 5.332 4.926 Å, 90.00 90.00 90.00°
Space group P4/mmm (No. 123)
Symmetry-distinct sites (fractional):
Na1 0.000 0.500 0.000 [2 per cell]
Ca1 0.000 0.000 0.500 [1 per cell]
Ta1 0.500 0.500 0.500 [1 per cell]
Se1 0.500 0.500 0.000 [1 per cell]

## Na10CaSn12 (meta-GGA SCAN)

Data for a crystal of Na10CaSn12 relaxed with PBEsol.

Output
**DFT formation energy**: -0.33 eV per atom
**E**: -981.10 eV/cell
**Calculated volume**: 29.71 Å³/atom

Cell: 11.098 11.098 11.098 Å, 90.00 90.00 90.00°
Space group I-43m (No. 217)
Symmetry-distinct sites (fractional):
Na1 0.000 0.250 0.500 [12 per cell]
Na2 0.193 0.193 0.193 [8 per cell]
Ca1 0.000 0.000 0.000 [2 per cell]
Sn1 0.091 0.091 0.720 [24 per cell]

## Na2SrCa2 (meta-GGA SCAN)

Data for a crystal of Na2SrCa2 relaxed with PBEsol.

Output
**DFT formation energy**: 0.08 eV per atom
**E**: -99.31 eV/cell
**Calculated volume**: 40.84 Å³/atom

Cell: 9.922 9.922 4.148 Å, 90.00 90.00 90.00°
Space group P4/mbm (No. 127)
Symmetry-distinct sites (fractional):
Na1 0.124 0.376 0.000 [4 per cell]
Sr1 0.000 0.000 0.000 [2 per cell]
Ca1 0.172 0.672 0.500 [4 per cell]

## NaSr3Ca (meta-GGA SCAN)

Data for a crystal of NaSr3Ca relaxed with PBEsol.

Output
**DFT formation energy**: 0.31 eV per atom
**E**: -79.14 eV/cell
**Calculated volume**: 52.86 Å³/atom

Cell: 6.417 6.417 6.417 Å, 90.00 90.00 90.00°
Space group Pm-3m (No. 221)
Symmetry-distinct sites (fractional):
Na1 0.000 0.000 0.000 [1 per cell]
Sr1 0.000 0.000 0.500 [3 per cell]
Ca1 0.500 0.500 0.500 [1 per cell]

## NaCaTa3 (meta-GGA SCAN)

Data for a crystal of NaCaTa3 relaxed with PBEsol.

Output
**Offset from the most stable computed form**: 0.0 kJ/mol of atoms
**DFT formation energy**: 2.28 eV per atom
**E**: -202.25 eV/cell
**Calculated volume**: 22.11 Å³/atom

Cell: 4.799 4.799 4.799 Å, 90.00 90.00 90.00°
Space group Pm-3m (No. 221)
Symmetry-distinct sites (fractional):
Na1 0.000 0.000 0.000 [1 per cell]
Ca1 0.500 0.500 0.500 [1 per cell]
Ta1 0.000 0.000 0.500 [3 per cell]

## NaCa2Tc (meta-GGA SCAN)

Data for a crystal of NaCa2Tc relaxed with PBEsol.

Output
**DFT formation energy**: 0.61 eV per atom
**E**: -224.70 eV/cell
**Calculated volume**: 25.16 Å³/atom

Cell: 7.384 7.384 7.384 Å, 90.00 90.00 90.00°
Space group Fm-3m (No. 225)
Symmetry-distinct sites (fractional):
Na1 0.000 0.000 0.000 [4 per cell]
Ca1 0.250 0.250 0.250 [8 per cell]
Tc1 0.000 0.000 0.500 [4 per cell]

## NaCaTe2 (meta-GGA SCAN)

Data for a crystal of NaCaTe2 relaxed with PBEsol.

Output
**Formation energy (no corrections)**: -1.10 eV per atom
**E**: -371.09 eV/cell
**Calculated volume**: 29.96 Å³/atom

Cell: 8.283 8.283 6.987 Å, 90.00 90.00 90.00°
Space group I-42d (No. 122)
Symmetry-distinct sites (fractional):
Na1 0.000 0.000 0.000 [4 per cell]
Ca1 0.000 0.000 0.500 [4 per cell]
Te1 0.247 0.750 0.125 [8 per cell]

## NaCaTe3 (meta-GGA SCAN)

Data for a crystal of NaCaTe3 relaxed with PBEsol.

Output
**Formation energy (no corrections)**: -0.39 eV per atom
**E**: -127.57 eV/cell
**Calculated volume**: 38.95 Å³/atom

Cell: 5.796 5.796 5.796 Å, 90.00 90.00 90.00°
Space group Pm-3m (No. 221)
Symmetry-distinct sites (fractional):
Na1 0.000 0.000 0.000 [1 per cell]
Ca1 0.500 0.500 0.500 [1 per cell]
Te1 0.000 0.500 0.500 [3 per cell]

## NaCaTi2Zn (meta-GGA SCAN)

Data for a crystal of NaCaTi2Zn relaxed with PBEsol.

Output
**DFT formation energy**: 0.59 eV per atom
**E**: -56.50 eV/cell
**Calculated volume**: 25.50 Å³/atom

Cell: 4.894 4.894 5.323 Å, 90.00 90.00 90.00°
Space group P4/mmm (No. 123)
Symmetry-distinct sites (fractional):
Na1 0.000 0.000 0.000 [1 per cell]
Ca1 0.500 0.500 0.000 [1 per cell]
Ti1 0.000 0.500 0.500 [2 per cell]
Zn1 0.000 0.000 0.500 [1 per cell]

## Na2Ca2Tl (meta-GGA SCAN)

Data for a crystal of Na2Ca2Tl relaxed with PBEsol.

Output
**DFT formation energy**: -0.09 eV per atom
**E**: -201.11 eV/cell
**Calculated volume**: 33.34 Å³/atom

Cell: 4.084 4.084 19.994 Å, 90.00 90.00 90.00°
Space group I4/mmm (No. 139)
Symmetry-distinct sites (fractional):
Na1 0.000 0.500 0.250 [4 per cell]
Ca1 0.000 0.000 0.088 [4 per cell]
Tl1 0.000 0.000 0.500 [2 per cell]